(1)
Density functional theory data (PBE) for an optimized crystal structure of LiPm5In8.

Lattice parameters (Å, degrees): 7.9940 7.9940 7.9940 108.86 110.70 108.86
Closest atoms and distances in Å follow each position.
Fractional coordinates of all 14 atoms:
In  0.1513  0.7341  0.5693  1 Li 2.85, 1 In 3.07
In  0.5828  0.4180  0.8487  1 Li 2.85, 1 In 3.07
In  0.2834  0.2745  0.3996  1 Li 2.96, 1 In 3.07, 4 Pm 3.21-3.31
In  0.9912  0.1162  0.7166  1 Li 2.96, 1 In 3.07, 4 Pm 3.21-3.31
In  0.8352  0.2659  0.4172  1 Li 2.85, 1 In 3.07
In  0.1251  0.7255  0.0088  1 Li 2.96, 1 In 3.07, 4 Pm 3.21-3.31
In  0.4307  0.5820  0.1648  1 Li 2.85, 1 In 3.07
In  0.6004  0.8838  0.8749  1 Li 2.96, 1 In 3.07, 4 Pm 3.21-3.31
Pm  0.9663  0.3613  0.1066  8 In 3.21-3.33
Pm  0.8934  0.8598  0.2547  8 In 3.21-3.33
Pm  0.7453  0.6387  0.6051  8 In 3.21-3.33
Pm  0.3949  0.1402  0.0337  8 In 3.21-3.33
Pm  0.5000  0.0000  0.5000  8 In 3.26-3.33
Li  0.2500  0.5000  0.7500  8 In 2.85-2.96

Output
Crystal system: tetragonal
Energy of formation from the pure elements (eV/atom): -0.352
Symmetry: I-4


(2)
Density functional theory data (PBE) for an optimized crystal structure of LiPmIn2.

Lattice parameters (Å, degrees): 3.5822 3.5822 7.4568 90.00 90.00 90.00
Closest atoms and distances in Å follow each position.
Fractional coordinates of all 4 atoms:
In  0.0000  0.0000  0.7940  4 Li 2.96, 1 In 3.07
In  0.0000  0.0000  0.2060  4 Li 2.96, 1 In 3.07
Pm  0.5000  0.5000  0.5000  8 In 3.35, 4 Pm 3.58, 2 Li 3.73
Li  0.5000  0.5000  0.0000  8 In 2.96

Output
Crystal system: tetragonal
Energy of formation from the pure elements (eV/atom): -0.406
Symmetry: P4/mmm


(3)
Density functional theory data (PBE) for an optimized crystal structure of Li2Pm3In7.

Lattice parameters (Å, degrees): 4.4472 4.6158 14.8432 98.94 90.00 90.00
Closest atoms and distances in Å follow each position.
Fractional coordinates of all 12 atoms:
Pm  0.0000  0.8161  0.6330  10 In 3.39-3.73, 4 Li 3.52
Pm  0.5000  0.5000  0.0000  12 In 3.20-3.41
Pm  0.0000  0.1839  0.3670  10 In 3.39-3.73, 4 Li 3.52
In  0.5000  0.7218  0.4435  1 Li 2.58, 2 In 2.84
In  0.5000  0.9146  0.8291  2 Li 2.71
In  0.5000  0.2782  0.5565  1 Li 2.58, 2 In 2.84
In  0.0000  0.0000  0.0000  4 Pm 3.20, 8 In 3.35-3.37
In  0.0000  0.4154  0.8323  2 Li 2.66
In  0.0000  0.5846  0.1677  2 Li 2.66
In  0.5000  0.0854  0.1709  2 Li 2.71
Li  0.5000  0.6339  0.2674  5 In 2.58-2.71
Li  0.5000  0.3661  0.7326  5 In 2.58-2.71

Output
Crystal system: monoclinic
Energy of formation from the pure elements (eV/atom): -0.377
Symmetry: P2/m


(4)
Density functional theory data (PBE) for an optimized crystal structure of LiPm2In3.

Lattice parameters (Å, degrees): 6.1640 6.1640 9.3254 103.75 103.75 106.30
Closest atoms and distances in Å follow each position.
Fractional coordinates of all 12 atoms:
In  0.8286  0.8286  0.6572  1 Li 2.75, 2 In 2.92
In  0.3427  0.8299  0.1726  1 Li 2.78, 2 In 2.92-2.96
In  0.1701  0.6573  0.8274  1 Li 2.78, 2 In 2.92-2.96
In  0.1714  0.1714  0.3428  1 Li 2.75, 2 In 2.92
In  0.8299  0.3427  0.1726  1 Li 2.78, 2 In 2.92-2.96
In  0.6573  0.1701  0.8274  1 Li 2.78, 2 In 2.92-2.96
Pm  0.7500  0.2500  0.5000  8 In 3.36, 4 Li 3.39, 2 Pm 3.70
Pm  0.2500  0.7500  0.5000  8 In 3.36, 4 Li 3.39, 2 Pm 3.70
Pm  0.7488  0.7488  0.0000  10 In 3.37-3.47, 2 Li 3.42, 2 Pm 3.68-3.71
Pm  0.2512  0.2512  0.0000  10 In 3.37-3.47, 2 Li 3.42, 2 Pm 3.68-3.71
Li  0.3318  0.3318  0.6637  3 In 2.75-2.78
Li  0.6682  0.6682  0.3363  3 In 2.75-2.78

Output
Crystal system: orthorhombic
Energy of formation from the pure elements (eV/atom): -0.447
Symmetry: Fmmm